Record 1
TaAlBr2 | GGA-PBE | optimized geometry

```
TaAlBr2
1.0
4.221 0.000 0.000
0.000 4.221 0.000
0.000 0.000 9.666
Ta Al Br
2 2 4
Direct
0.000 0.000 0.000
0.500 0.500 0.500
0.000 0.500 0.750
0.500 0.000 0.250
0.000 0.000 0.500
0.000 0.500 0.250
0.500 0.000 0.750
0.500 0.500 0.000
```

Output
Relative energy among the computed polymorphs ... 1189 meV per atom
Raw total energy ... -3.95 eV per atom
E_form (uncorrected) ... 783 meV/atom
Symmetry ... I-4m2 (119)
Spin magnetization ... 0.578 μB per atom
Density ... 7.1 g/cm3

Record 2
Ta2AlBr | GGA-PBE | optimized geometry

```
Ta2AlBr
1.0
9.726 0.000 0.000
0.000 2.969 0.000
-1.350 0.000 5.093
Ta Al Br
4 2 2
Direct
0.247 0.000 0.238
0.253 0.500 0.762
0.747 0.500 0.238
0.753 0.000 0.762
0.000 0.500 0.000
0.500 0.000 0.000
0.000 0.000 0.500
0.500 0.500 0.500
```

Output
Relative energy among the computed polymorphs ... 223 meV per atom
Raw total energy ... -6.90 eV per atom
E_form (uncorrected) ... 380 meV/atom
Symmetry ... C2/m (12)
Spin magnetization ... 0.000 μB per atom
Density ... 10.6 g/cm3

Record 3
TaAlBr2 | GGA-PBE | optimized geometry

```
TaAlBr2
1.0
3.764 0.000 0.000
0.000 3.529 0.000
-1.845 0.000 8.105
Ta Al Br
1 1 2
Direct
0.000 0.000 0.000
0.453 0.500 0.905
0.118 0.500 0.244
0.843 0.000 0.676
```

Output
Relative energy among the computed polymorphs ... 159 meV per atom
Raw total energy ... -4.98 eV per atom
E_form (uncorrected) ... -247 meV/atom
Symmetry ... Pm (6)
Spin magnetization ... 0.000 μB per atom
Density ... 5.7 g/cm3

Which value of spin magnetization does entry 2 give? 0.000 μB per atom

Look up the raw total energy of the second one. -6.90 eV per atom

What is the raw total energy in the first record? -3.95 eV per atom